Entry 1:
VASP calculation (PBE) on a relaxed Ru3Br crystal.

extended XYZ file:
```
4
Lattice="-0.554 2.516 1.265 -2.716 -0.817 0.437 1.924 -2.880 6.571" Properties=species:S:1:pos:R:3 pbc="T T T"
Br 0.000 0.000 0.000
Ru -0.216 -1.274 5.697
Ru -1.130 0.093 2.577
Ru 0.962 -1.440 3.286
```

ΔE_f (raw) (eV per atom): 0.677
Spin magnetization (μB/cell): 0.0
Relative energy among the computed polymorphs (meV per atom): 99.6
Theoretical density (Mg/m³): 10.4

Entry 2:
VASP calculation (PBE) on a relaxed RuBr3 crystal.

extended XYZ file:
```
4
Lattice="1.771 0.000 12.470 -0.885 1.534 12.470 -0.885 -1.534 12.470" Properties=species:S:1:pos:R:3 pbc="T T T"
Br 0.000 0.000 35.047
Br 0.000 0.000 18.705
Br 0.000 0.000 2.363
Ru 0.000 0.000 0.000
```

ΔE_f (raw) (eV per atom): 0.450
Spin magnetization (μB/cell): 0.0
Theoretical density (Mg/m³): 5.6

What is the theoretical density in the second record?
5.6 Mg/m³

spin magnetization of number 2 (RuBr3)?
0.0 μB/cell